Entry from Alexandria via LeMat-Bulk: a relaxed RuRhS3 crystal (PBEsol).

```
RuRhS3
1.0
-0.717 2.327 3.751
-2.305 -3.438 1.693
3.765 -1.662 1.751
S Rh Ru
3 1 1
Direct
0.000 0.000 0.500
0.500 0.000 0.000
0.000 0.500 0.000
0.500 0.500 0.500
0.000 0.000 0.000
```

Calculated values
Uncorrected energy: -5.44 eV per atom
ΔE_f (raw): 0.85 eV/atom
Crystal system: cubic